Entry from Alexandria: a relaxed BaNdY2 crystal (PBE).

Cell: 3.7460 3.7460 10.8912 Å, 90.00 90.00 90.00°
Positions (direct):
Ba  0.0000  0.0000  0.0000
Nd  0.0000  0.0000  0.5000
Y  0.5000  0.5000  0.2804
Y  0.5000  0.5000  0.7196

Computed properties:
* ΔH_f (0 K): 0.15 eV/atom
* M_tot: 0.000 μB per atom

Entry from Alexandria: a relaxed KCoBr4 crystal (PBE).

Cell: 6.5116 6.5116 6.5116 Å, 60.00 60.00 60.00°
Positions (direct):
K  0.0000  0.0000  0.0000
Co  0.2500  0.2500  0.2500
Br  0.1272  0.6243  0.6243
Br  0.6243  0.1272  0.6243
Br  0.6243  0.6243  0.1272
Br  0.6243  0.6243  0.6243

Computed properties:
* ΔE_f (raw): 0.402 eV per atom
* M_tot: 0.669 μB per atom

Question: Number 1 is which compound?
Answer: BaNdY2